No. 1
PBE MoPb, relaxed; size of the total moment = 7.96 μB/cell; formation energy = 236.3 kJ/mol of formula units
1.0
5.706 0.000 0.000
0.000 5.706 0.000
0.000 0.000 5.706
Mo Pb
4 4
Direct
0.000 0.000 0.000
0.000 0.500 0.500
0.500 0.000 0.500
0.500 0.500 0.000
0.500 0.500 0.500
0.500 0.000 0.000
0.000 0.500 0.000
0.000 0.000 0.500

No. 2
PBE La3TbPd12, relaxed; size of the total moment = 0.00 μB/cell; formation energy = -1258.2 kJ/mol of formula units
1.0
4.206 0.000 0.000
0.000 4.206 0.000
0.000 0.000 16.835
La Tb Pd
3 1 12
Direct
0.000 0.000 0.246
0.000 0.000 0.500
0.000 0.000 0.754
0.000 0.000 0.000
0.500 0.500 0.000
0.500 0.500 0.248
0.500 0.500 0.500
0.500 0.500 0.752
0.500 0.000 0.120
0.500 0.000 0.374
0.500 0.000 0.626
0.500 0.000 0.880
0.000 0.500 0.120
0.000 0.500 0.374
0.000 0.500 0.626
0.000 0.500 0.880

No. 3
PBE CoSiP, relaxed; size of the total moment = 0.00 μB/cell; formation energy without anion corrections = -0.2123 eV per atom
1.0
-1.947 1.849 0.156
-2.600 -0.979 2.442
1.106 2.831 3.699
P Si Co
1 1 1
Direct
0.990 0.048 0.840
0.795 0.941 0.338
0.389 0.487 0.604

No. 4
PBE Tb3Tm2Al4, relaxed; size of the total moment = 0.00 μB/cell; formation energy = -294.3 kJ/mol of formula units
1.0
5.101 0.000 0.000
-2.551 4.401 0.382
0.000 -0.837 9.636
Tb Tm Al
3 2 4
Direct
0.333 0.667 0.582
0.000 0.000 0.000
0.667 0.333 0.418
0.333 0.667 0.219
0.667 0.333 0.781
0.667 0.333 0.098
0.000 0.000 0.650
0.000 0.000 0.350
0.333 0.667 0.902

No. 5
PBE TeO, relaxed; size of the total moment = 0.00 μB/cell; formation energy without anion corrections = -0.5288 eV per atom
1.0
-3.088 1.512 3.069
1.755 -2.265 2.882
6.892 6.560 0.959
Te O
4 4
Direct
0.766 0.247 0.186
0.234 0.247 0.814
0.766 0.747 0.686
0.234 0.747 0.314
0.371 0.973 0.154
0.629 0.973 0.846
0.371 0.473 0.654
0.629 0.473 0.346

No. 6
PBE AcSnSbAs, relaxed; size of the total moment = 0.00 μB/cell; formation energy without anion corrections = -0.2945 eV per atom
1.0
-1.426 -3.678 3.776
0.051 -5.324 -1.217
3.785 -3.267 2.196
Sb Ac As Sn
1 1 1 1
Direct
0.750 0.750 0.750
0.250 0.250 0.250
0.000 0.000 0.000
0.500 0.500 0.500

No. 7
PBE Ba8SiAu3Br4, relaxed; size of the total moment = 0.00 μB/cell; formation energy without anion corrections = -1.1396 eV per atom
1.0
-2.367 7.227 5.588
-7.919 -5.133 3.284
8.522 -3.973 0.780
Ba Si Au Br
8 1 3 4
Direct
0.239 0.722 0.984
0.239 0.722 0.478
0.258 0.275 0.517
0.745 0.722 0.984
0.255 0.278 0.016
0.742 0.725 0.483
0.761 0.278 0.522
0.761 0.278 0.016
0.000 0.500 0.000
0.500 0.500 0.000
0.500 0.500 0.500
0.000 0.500 0.500
0.500 0.000 0.000
0.500 0.000 0.500
0.000 0.000 0.000
0.000 0.000 0.500

No. 8
PBE LaIn2HgH, relaxed; total energy = -3.095 eV/atom; size of the total moment = 0.00 μB/cell
1.0
-3.840 -1.591 2.498
-0.321 -3.842 -2.941
2.863 -2.425 2.855
H In Hg La
1 2 1 1
Direct
0.000 0.000 0.000
0.000 0.500 0.000
0.500 0.000 0.000
0.500 0.500 0.500
0.000 0.000 0.500

No. 9
PBE Pu2Ga3Pd4, relaxed; size of the total moment = 22.30 μB/cell; formation energy = -535.6 kJ/mol of formula units
1.0
5.265 0.000 -2.063
0.000 7.583 0.000
0.191 0.000 8.239
Pu Ga Pd
4 6 8
Direct
0.103 0.595 0.205
0.897 0.405 0.795
0.397 0.095 0.795
0.603 0.905 0.205
0.000 0.000 0.000
0.500 0.500 0.000
0.515 0.750 0.531
0.985 0.250 0.469
0.485 0.250 0.469
0.015 0.750 0.531
0.684 0.750 0.867
0.816 0.250 0.133
0.316 0.250 0.133
0.184 0.750 0.867
0.179 0.984 0.358
0.821 0.016 0.642
0.321 0.484 0.642
0.679 0.516 0.358

No. 10
PBE AlTcMo2, relaxed; size of the total moment = 0.00 μB/cell; formation energy = 22.5 kJ/mol of formula units
1.0
9.061 -0.007 -0.004
8.622 2.785 -0.004
8.622 1.355 2.434
Mo Tc Al
2 1 1
Direct
0.001 0.001 0.001
0.246 0.246 0.246
0.500 0.500 0.500
0.753 0.753 0.753

No. 11
PBE ReAgGe2O, relaxed; size of the total moment = 2.29 μB/cell; formation energy without anion corrections = 1.3304 eV per atom
1.0
4.955 0.000 0.000
0.000 3.723 0.000
0.000 0.000 4.955
Re Ge O Ag
1 2 1 1
Direct
0.500 0.500 0.500
0.000 0.000 0.500
0.500 0.000 0.000
0.000 0.500 0.000
0.000 0.000 0.000

No. 12
PBE Ba2CdInPd6, relaxed; size of the total moment = 0.00 μB/cell; formation energy = -97.9 kJ/mol of formula units
1.0
-2.742 3.575 -5.640
-3.672 -5.899 -1.954
-7.150 0.342 -0.926
Ba Cd In Pd
2 1 1 6
Direct
0.250 0.750 0.500
0.750 0.250 0.500
0.000 0.000 0.000
0.500 0.500 0.000
0.251 0.749 0.000
0.749 0.749 0.000
0.251 0.251 0.497
0.749 0.251 0.000
0.251 0.251 0.000
0.749 0.749 0.503

No. 13
PBE BAs, relaxed; size of the total moment = 0.00 μB/cell; formation energy = 72.0 kJ/mol of formula units
1.0
-4.986 -3.147 -2.983
4.128 -4.835 -1.799
-1.326 -3.221 5.615
B As
8 8
Direct
0.158 0.158 0.158
0.158 0.842 0.842
0.842 0.158 0.842
0.842 0.842 0.158
0.658 0.658 0.658
0.658 0.342 0.342
0.342 0.658 0.342
0.342 0.342 0.658
0.336 0.336 0.336
0.336 0.664 0.664
0.664 0.336 0.664
0.664 0.664 0.336
0.836 0.836 0.836
0.836 0.164 0.164
0.164 0.836 0.164
0.164 0.164 0.836

No. 14
PBE Ba3Sr3Ga2Hg, relaxed; size of the total moment = 0.00 μB/cell; formation energy = -225.7 kJ/mol of formula units
1.0
5.560 0.000 0.000
0.000 8.700 0.000
0.000 -4.350 7.535
Ba Sr Ga Hg
3 3 2 1
Direct
0.000 0.589 0.589
0.000 0.000 0.411
0.000 0.411 0.000
0.500 0.738 0.000
0.500 0.000 0.738
0.500 0.262 0.262
0.500 0.667 0.333
0.500 0.333 0.667
0.000 0.000 0.000

No. 15
PBE PmHoTh14, relaxed; size of the total moment = 0.00 μB/cell; formation energy = 55.4 kJ/mol of formula units
1.0
7.167 -0.437 0.000
-3.211 6.423 0.000
0.000 0.000 11.600
Pm Ho Th
1 1 14
Direct
0.540 0.460 0.500
0.041 0.959 0.500
0.208 0.792 0.000
0.708 0.292 0.000
0.044 0.457 0.500
0.208 0.291 0.000
0.543 0.956 0.500
0.709 0.792 0.000
0.374 0.124 0.751
0.374 0.124 0.249
0.876 0.626 0.751
0.876 0.626 0.249
0.375 0.625 0.752
0.375 0.625 0.248
0.875 0.125 0.750
0.875 0.125 0.250

No. 16
PBE Sm12Cd6Hg, relaxed; size of the total moment = 0.00 μB/cell; formation energy = -244.0 kJ/mol of formula units
1.0
8.960 -1.133 -1.357
-2.478 8.684 -1.357
-2.478 -2.887 8.302
Sm Cd Hg
12 6 1
Direct
0.800 0.676 0.532
0.532 0.800 0.676
0.676 0.532 0.800
0.200 0.324 0.468
0.468 0.200 0.324
0.324 0.468 0.200
0.896 0.831 0.263
0.169 0.737 0.104
0.737 0.104 0.169
0.104 0.169 0.737
0.831 0.263 0.896
0.263 0.896 0.831
0.643 0.945 0.423
0.577 0.357 0.055
0.055 0.577 0.357
0.357 0.055 0.577
0.423 0.643 0.945
0.945 0.423 0.643
0.000 0.000 0.000

No. 17
PBE NaBi2Cl6, relaxed; size of the total moment = 0.00 μB/cell; formation energy without anion corrections = -1.0094 eV per atom
1.0
5.841 0.000 0.000
0.000 6.462 -3.731
0.000 0.000 7.461
Na Bi Cl
1 2 6
Direct
0.000 0.000 0.000
0.500 0.667 0.333
0.500 0.333 0.667
0.738 0.656 0.656
0.262 0.656 0.000
0.262 0.000 0.656
0.738 0.344 0.000
0.262 0.344 0.344
0.738 0.000 0.344

No. 18
PBE Pr4Y3Mg, relaxed; size of the total moment = 0.00 μB/cell; formation energy = -6.9 kJ/mol of formula units
1.0
-1.486 0.002 -3.373
-2.505 -2.468 1.103
-12.021 14.574 5.306
Pr Y Mg
4 3 1
Direct
0.000 0.000 0.888
0.000 0.000 0.112
0.000 0.000 0.371
0.000 0.000 0.629
0.500 0.500 0.241
0.500 0.500 0.500
0.500 0.500 0.759
0.500 0.500 0.000